1.
# ZrMo3As

A geometry-optimized ZrMo3As structure (GGA-PBE, Alexandria).

a b c (Å): 4.627 4.627 4.627
angles (deg): 90.00 90.00 90.00
Sites, in units of the cell vectors:
1 Mo 0.000 0.500 0.000
2 Mo 0.000 0.000 0.500
3 Mo 0.500 0.000 0.000
4 As 0.000 0.000 0.000
5 Zr 0.500 0.500 0.500

Summary:
Energy relative to the elements, eV per atom: 0.75
Relative energy among the computed polymorphs, meV/atom: 0
Fermi-level density of states, states/eV per cell: 7.55
Magnetic moment, μB per cell: 0.00
Electronic total energy, eV per formula unit: -41.96



2.
# Zr4MoAs

A geometry-optimized Zr4MoAs structure (GGA-PBE, Alexandria).

a b c (Å): 5.628 5.628 5.628
angles (deg): 60.00 60.00 60.00
Sites, in units of the cell vectors:
1 Zr 0.880 0.373 0.373
2 Zr 0.373 0.373 0.880
3 Zr 0.373 0.880 0.373
4 Zr 0.373 0.373 0.373
5 Mo 0.000 0.000 0.000
6 As 0.750 0.750 0.750

Summary:
Energy relative to the elements, eV per atom: 0.52
Fermi-level density of states, states/eV per cell: 9.84
Magnetic moment, μB per cell: 0.00
Electronic total energy, eV per formula unit: -46.57